# 1
A plane-wave DFT calculation with GGA-PBE was carried out for a relaxed structure of CaYCd2.

Results
As for the calculated volume: 109.0 Å³/f.u. The value obtained for the magnetic moment is 0.0 μB/f.u. As for the symmetry: I-4m2, No. 119. Its formation energy is -0.149 eV/atom.

abc: 4.663 4.663 10.022
angles: 90.00 90.00 90.00
Element x y z (fractional)
Ca  0.000  0.000  0.000
Ca  0.500  0.500  0.500
Y  0.000  0.500  0.250
Y  0.500  0.000  0.750
Cd  0.000  0.000  0.500
Cd  0.000  0.500  0.750
Cd  0.500  0.000  0.250
Cd  0.500  0.500  0.000

# 2
A plane-wave DFT calculation with GGA-PBE was carried out for a relaxed structure of Ac6La4Er.

Results
As for the calculated volume: 471.5 Å³/f.u. The value obtained for the magnetic moment is 0.0 μB/f.u. As for the symmetry: I-42m, No. 121. Its formation energy is 0.291 eV/atom.

abc: 10.646 10.646 10.646
angles: 141.13 141.13 56.14
Element x y z (fractional)
Ac  0.000  0.500  0.500
Ac  0.175  0.175  0.634
Ac  0.459  0.825  0.000
Ac  0.500  0.000  0.500
Ac  0.541  0.541  0.366
Ac  0.825  0.459  0.000
La  0.018  0.644  0.000
La  0.356  0.356  0.375
La  0.644  0.018  0.000
La  0.982  0.982  0.625
Er  0.000  0.000  0.000

# 3
A plane-wave DFT calculation with GGA-PBE was carried out for a relaxed structure of Ce6Sb2N.

Results
The total energy comes out at -6.591 eV per atom. As for the calculated volume: 218.0 Å³/f.u. The value obtained for the magnetic moment is 3.4 μB/f.u. As for the symmetry: Immm, No. 71.

abc: 6.876 6.876 6.876
angles: 123.14 123.12 84.66
Element x y z (fractional)
Ce  0.232  0.232  0.000
Ce  0.268  0.269  0.537
Ce  0.268  0.731  0.999
Ce  0.732  0.269  0.001
Ce  0.732  0.731  0.463
Ce  0.768  0.768  0.000
Sb  0.250  0.750  0.500
Sb  0.750  0.250  0.500
N  0.000  0.000  0.000

# 4
A plane-wave DFT calculation with GGA-PBE was carried out for a relaxed structure of LaTbPaO6.

Results
The total energy comes out at -8.593 eV per atom. As for the calculated volume: 144.3 Å³/f.u. The value obtained for the magnetic moment is 0.6 μB/f.u. As for the symmetry: P312, No. 149.

abc: 5.964 5.964 4.686
angles: 90.00 90.00 120.00
Element x y z (fractional)
La  0.000  0.000  0.000
Tb  0.333  0.667  0.000
Pa  0.667  0.333  0.500
O  0.363  0.015  0.248
O  0.363  0.347  0.752
O  0.653  0.015  0.752
O  0.653  0.637  0.248
O  0.985  0.347  0.248
O  0.985  0.637  0.752

# 5
A plane-wave DFT calculation with GGA-PBE was carried out for a relaxed structure of Rb2TlHg12Au3.

Results
As for the calculated volume: 722.1 Å³/f.u. The value obtained for the magnetic moment is 0.0 μB/f.u. As for the symmetry: R-3m, No. 166. Its formation energy is -0.019 eV/atom.

abc: 10.064 10.064 10.064
angles: 60.08 60.08 60.08
Element x y z (fractional)
Rb  0.118  0.118  0.118
Rb  0.882  0.882  0.882
Tl  0.500  0.500  0.500
Hg  0.124  0.618  0.618
Hg  0.167  0.167  0.521
Hg  0.167  0.521  0.167
Hg  0.382  0.382  0.876
Hg  0.382  0.876  0.382
Hg  0.479  0.833  0.833
Hg  0.521  0.167  0.167
Hg  0.618  0.124  0.618
Hg  0.618  0.618  0.124
Hg  0.833  0.479  0.833
Hg  0.833  0.833  0.479
Hg  0.876  0.382  0.382
Au  0.000  0.500  0.500
Au  0.500  0.000  0.500
Au  0.500  0.500  0.000

# 6
A plane-wave DFT calculation with GGA-PBE was carried out for a relaxed structure of Ba3Yb4O9.

Results
The total energy comes out at -6.209 eV per atom. As for the calculated volume: 275.9 Å³/f.u. The value obtained for the magnetic moment is 4.2 μB/f.u. As for the symmetry: R3, No. 146.

abc: 9.204 9.204 9.204
angles: 38.85 38.85 38.85
Element x y z (fractional)
Ba  0.000  0.000  0.000
Ba  0.166  0.166  0.166
Ba  0.577  0.577  0.577
Yb  0.302  0.302  0.302
Yb  0.426  0.426  0.426
Yb  0.741  0.741  0.741
Yb  0.865  0.865  0.865
O  0.025  0.582  0.143
O  0.044  0.453  0.586
O  0.130  0.593  0.701
O  0.143  0.025  0.582
O  0.453  0.586  0.044
O  0.582  0.143  0.025
O  0.586  0.044  0.453
O  0.593  0.701  0.130
O  0.701  0.130  0.593

Q: Look up the magnetic moment of the second one.
A: 0.0 μB/f.u.

Q: Look up the magnetic moment of the fifth one.
A: 0.0 μB/f.u.

What did the fifth record say?
A plane-wave DFT calculation with GGA-PBE was carried out for a relaxed structure of Rb2TlHg12Au3.

Results
As for the calculated volume: 722.1 Å³/f.u. The value obtained for the magnetic moment is 0.0 μB/f.u. As for the symmetry: R-3m, No. 166. Its formation energy is -0.019 eV/atom.

abc: 10.064 10.064 10.064
angles: 60.08 60.08 60.08
Element x y z (fractional)
Rb  0.118  0.118  0.118
Rb  0.882  0.882  0.882
Tl  0.500  0.500  0.500
Hg  0.124  0.618  0.618
Hg  0.167  0.167  0.521
Hg  0.167  0.521  0.167
Hg  0.382  0.382  0.876
Hg  0.382  0.876  0.382
Hg  0.479  0.833  0.833
Hg  0.521  0.167  0.167
Hg  0.618  0.124  0.618
Hg  0.618  0.618  0.124
Hg  0.833  0.479  0.833
Hg  0.833  0.833  0.479
Hg  0.876  0.382  0.382
Au  0.000  0.500  0.500
Au  0.500  0.000  0.500
Au  0.500  0.500  0.000